1.
13
Lattice="-0.857 4.759 6.454 1.549 -2.883 7.370 6.507 2.533 4.035" Properties=species:S:1:pos:R:3 comment="GGA-PBE PmAu12, optimized geometry" m_tot_mub_per_cell=0.000 mass_density_g_cm3=11.2 total_energy_ev_per_cell=-38.0 relative_energy_mev_per_atom=643.8 sg="Fm-3m, No. 225" formation_enthalpy_0k_kj_per_mol_fu=590 pbc="T T T"
Au 1.918 0.366 10.061
Au 1.101 2.959 9.750
Au 4.125 1.226 11.430
Au 3.074 3.182 6.429
Au 3.890 0.589 6.740
Au 4.416 -0.389 9.240
Au 2.783 4.797 8.619
Au 6.098 1.449 8.109
Au 5.807 3.063 10.298
Au 3.309 3.819 11.119
Au 1.392 1.345 7.560
Au 5.282 4.042 7.798
Pm 0.000 0.000 0.000

2.
13
Lattice="5.317 0.000 2.147 2.658 6.699 1.074 0.150 0.000 7.285" Properties=species:S:1:pos:R:3 comment="GGA-PBE PmAu12, optimized geometry" m_tot_mub_per_cell=0.000 mass_density_g_cm3=16.2 total_energy_ev_per_cell=-46.3 relative_energy_mev_per_atom=0.0 sg="I4/mmm, No. 139" formation_enthalpy_0k_kj_per_mol_fu=-217 pbc="T T T"
Au 2.734 0.000 4.716
Au 1.329 3.349 0.537
Au 2.120 1.438 2.407
Au 1.013 2.304 5.149
Au 4.454 2.304 4.283
Au 1.796 4.395 3.210
Au 3.988 3.349 1.610
Au 3.347 1.438 7.025
Au 0.075 0.000 3.642
Au 6.005 5.261 8.099
Au 3.671 4.395 6.222
Au 4.779 5.261 3.480
Pm 0.000 0.000 0.000

3.
7
Lattice="-0.367 -1.210 3.535 3.065 -2.129 -0.411 5.484 10.781 2.265" Properties=species:S:1:pos:R:3 comment="GGA-PBE Pm3Au4, optimized geometry" m_tot_mub_per_cell=0.000 mass_density_g_cm3=12.0 total_energy_ev_per_cell=-32.9 sg="I4/mmm, No. 139" formation_enthalpy_0k_kj_per_mol_fu=-532 pbc="T T T"
Au 7.334 6.668 3.043
Au 0.849 0.773 2.346
Au 2.785 3.349 3.429
Au 5.397 4.092 1.960
Pm 4.556 5.715 4.423
Pm 1.532 -1.065 -0.206
Pm 3.627 1.726 0.967